# 1
First-principles (PBE-GGA) data for crystalline Ac3PmSi7 at its relaxed geometry, as listed in Alexandria.

It has space group Cmcm (No. 63), with a = 4.480 Å, b = 19.548 Å, c = 12.042 Å, α = 90.00°, β = 90.00° and γ = 90.00°. The inequivalent atoms are Ac at (0.000, 0.106, 0.049), Ac at (0.000, 0.247, 0.750), Pm at (0.000, 0.047, 0.750), Si at (0.000, 0.269, 0.031), Si at (0.000, 0.365, 0.150), Si at (0.000, 0.428, 0.750) and Si at (0.000, 0.488, 0.096).

The calculation puts the formation energy (no corrections) at -0.56 eV/atom. The calculation puts the density of states at the Fermi level at 0.47 states/eV/atom. As for the calculated total energy: -5.57 eV per atom. The value obtained for the size of the total moment is 0.0 μB/f.u.



# 2
First-principles (PBE-GGA) data for crystalline CaCeNiHg at its relaxed geometry, as listed in Alexandria.

It has space group F-43m (No. 216), with a = 7.268 Å, b = 7.268 Å, c = 7.268 Å, α = 90.00°, β = 90.00° and γ = 90.00°. The inequivalent atoms are Ca at (0.000, 0.000, 0.000), Ce at (0.000, 0.000, 0.500), Ni at (0.250, 0.250, 0.750) and Hg at (0.250, 0.250, 0.250).

The energy relative to the elements comes out at -0.20 eV per atom. The calculation puts the density of states at the Fermi level at 1.87 states/eV/atom. As for the calculated total energy: -3.70 eV per atom. The value obtained for the size of the total moment is 0.7 μB/f.u.



# 3
First-principles (PBE-GGA) data for crystalline Pm6NdDyY2 at its relaxed geometry, as listed in Alexandria.

It has space group C2/c (No. 15), with a = 9.327 Å, b = 15.290 Å, c = 9.659 Å, α = 90.00°, β = 97.07° and γ = 90.00°. The inequivalent atoms are Pm at (0.064, 0.176, 0.443), Pm at (0.096, 0.390, 0.619), Pm at (0.209, 0.225, 0.816), Nd at (0.000, 0.407, 0.250), Dy at (0.000, 0.032, 0.750) and Y at (0.246, 0.048, 0.047).

The energy relative to the elements comes out at 0.12 eV per atom. The calculation puts the density of states at the Fermi level at 1.51 states/eV/atom. As for the calculated total energy: -4.96 eV per atom. The value obtained for the size of the total moment is 0.0 μB/f.u.



# 4
First-principles (PBE-GGA) data for crystalline As2Pt at its relaxed geometry, as listed in Alexandria.

It has space group P6_3/mmc (No. 194), with a = 3.5809 Å, b = 3.5809 Å, c = 10.2532 Å, α = 90.00°, β = 90.00° and γ = 120.00°. The inequivalent atoms are As at (0.3333, 0.6667, 0.1001) and Pt at (0.0000, 0.0000, 0.2500).

The energy relative to the elements comes out at -0.11 eV per atom. The calculation puts the density of states at the Fermi level at 0.27 states/eV/atom. As for the calculated total energy: -5.22 eV per atom. The value obtained for the size of the total moment is 0.0 μB/f.u.



# 5
First-principles (PBE-GGA) data for crystalline NaYSbBr2 at its relaxed geometry, as listed in Alexandria.

It has space group P4/mmm (No. 123), with a = 5.417 Å, b = 5.417 Å, c = 7.784 Å, α = 90.00°, β = 90.00° and γ = 90.00°. The inequivalent atoms are Na at (0.000, 0.000, 0.000), Y at (0.000, 0.000, 0.500), Sb at (0.500, 0.500, 0.000) and Br at (0.000, 0.500, 0.500).

The calculation puts the formation energy (no corrections) at -0.40 eV/atom. The calculation puts the density of states at the Fermi level at 0.80 states/eV/atom. As for the calculated total energy: -3.45 eV per atom. The value obtained for the size of the total moment is 2.5 μB/f.u.



# 6
First-principles (PBE-GGA) data for crystalline SmV2Re at its relaxed geometry, as listed in Alexandria.

It has space group R-3m (No. 166, hexagonal axes), with a = 4.2245 Å, b = 4.2245 Å, c = 15.7952 Å, α = 90.00°, β = 90.00° and γ = 120.00°. The inequivalent atoms are Sm at (0.0000, 0.0000, 0.0000), V at (0.0000, 0.0000, 0.1995) and Re at (0.0000, 0.0000, 0.5000).

The energy relative to the elements comes out at 0.23 eV per atom. The calculation puts the density of states at the Fermi level at 0.66 states/eV/atom. As for the calculated total energy: -8.63 eV per atom. The value obtained for the size of the total moment is 0.0 μB/f.u.



# 7
First-principles (PBE-GGA) data for crystalline K2MgTeO6 at its relaxed geometry, as listed in Alexandria.

It has space group Fm-3m (No. 225), with a = 8.152 Å, b = 8.152 Å, c = 8.152 Å, α = 90.00°, β = 90.00° and γ = 90.00°. The inequivalent atoms are K at (0.250, 0.250, 0.250), Mg at (0.000, 0.000, 0.000), Te at (0.000, 0.000, 0.500) and O at (0.000, 0.000, 0.262).

The calculation puts the formation energy (no corrections) at -1.40 eV/atom. The calculation puts the density of states at the Fermi level at 0.36 states/eV/atom. As for the calculated total energy: -5.06 eV per atom. The value obtained for the size of the total moment is 2.0 μB/f.u.



# 8
First-principles (PBE-GGA) data for crystalline CoSiTc2 at its relaxed geometry, as listed in Alexandria.

It has space group I-4m2 (No. 119), with a = 3.756 Å, b = 3.756 Å, c = 7.372 Å, α = 90.00°, β = 90.00° and γ = 90.00°. The inequivalent atoms are Co at (0.000, 0.000, 0.000), Si at (0.000, 0.500, 0.750), Tc at (0.000, 0.000, 0.500) and Tc at (0.000, 0.500, 0.250).

The calculation puts the formation energy (no corrections) at -0.15 eV/atom. The calculation puts the density of states at the Fermi level at 1.16 states/eV/atom. As for the calculated total energy: -8.46 eV per atom. The value obtained for the size of the total moment is 1.2 μB/f.u.



# 9
First-principles (PBE-GGA) data for crystalline LaTmCd2 at its relaxed geometry, as listed in Alexandria.

It has space group P4/mmm (No. 123), with a = 3.729 Å, b = 3.729 Å, c = 7.969 Å, α = 90.00°, β = 90.00° and γ = 90.00°. The inequivalent atoms are La at (0.000, 0.000, 0.000), Tm at (0.000, 0.000, 0.500) and Cd at (0.500, 0.500, 0.278).

The energy relative to the elements comes out at -0.32 eV per atom. The calculation puts the density of states at the Fermi level at 0.91 states/eV/atom. As for the calculated total energy: -3.12 eV per atom. The value obtained for the size of the total moment is 0.4 μB/f.u.



# 10
First-principles (PBE-GGA) data for crystalline TiNbTe2Cl at its relaxed geometry, as listed in Alexandria.

It has space group P4/mmm (No. 123), with a = 5.434 Å, b = 5.434 Å, c = 4.414 Å, α = 90.00°, β = 90.00° and γ = 90.00°. The inequivalent atoms are Ti at (0.000, 0.000, 0.000), Nb at (0.500, 0.500, 0.000), Te at (0.000, 0.500, 0.500) and Cl at (0.500, 0.500, 0.500).

The calculation puts the formation energy (no corrections) at 1.00 eV/atom. The calculation puts the density of states at the Fermi level at 1.45 states/eV/atom. As for the calculated total energy: -4.22 eV per atom. The value obtained for the size of the total moment is 0.7 μB/f.u.



# 11
First-principles (PBE-GGA) data for crystalline TbCe3Ni8 at its relaxed geometry, as listed in Alexandria.

It has space group R3m (No. 160, hexagonal axes), with a = 5.0857 Å, b = 5.0857 Å, c = 24.8653 Å, α = 90.00°, β = 90.00° and γ = 120.00°. The inequivalent atoms are Tb at (0.0000, 0.0000, 0.0000), Ce at (0.0000, 0.0000, 0.3819), Ce at (0.0000, 0.0000, 0.5053), Ce at (0.0000, 0.0000, 0.8737), Ni at (0.0000, 0.0000, 0.1896), Ni at (0.0000, 0.0000, 0.6895), Ni at (0.0026, 0.5013, 0.9406) and Ni at (0.1679, 0.3358, 0.7723).

The energy relative to the elements comes out at -0.39 eV per atom. The calculation puts the density of states at the Fermi level at 1.26 states/eV/atom. As for the calculated total energy: -6.11 eV per atom. The value obtained for the size of the total moment is 0.1 μB/f.u.



# 12
First-principles (PBE-GGA) data for crystalline La8Y5Tm at its relaxed geometry, as listed in Alexandria.

It has space group I-4 (No. 82), with a = 9.878 Å, b = 9.878 Å, c = 10.348 Å, α = 90.00°, β = 90.00° and γ = 90.00°. The inequivalent atoms are La at (0.066, 0.334, 0.089), La at (0.093, 0.184, 0.752), Y at (0.000, 0.000, 0.000), Y at (0.106, 0.200, 0.425) and Tm at (0.000, 0.500, 0.750).

The energy relative to the elements comes out at 0.26 eV per atom. The calculation puts the density of states at the Fermi level at 1.66 states/eV/atom. As for the calculated total energy: -5.19 eV per atom. The value obtained for the size of the total moment is 0.0 μB/f.u.